Record 1
An optimized crystal structure of YBeAu2. Source: the Alexandria database, functional GGA-PBE.

Output
Its density is 10.98 Mg/m³. As for the final energy: -17.8 eV per cell. The formation energy is -271 meV/atom. The magnetic moment is 0.00 μB per formula unit. The value obtained for the calculated volume is 74 Å³ per cell.

a = 4.721 Å, b = 4.721 Å, c = 4.721 Å
α = 60.00°, β = 60.00°, γ = 60.00°
Fractional positions:
Y (0.000, 0.000, 0.000)
Be (0.250, 0.250, 0.250)
Au (0.500, 0.500, 0.500)
Au (0.750, 0.750, 0.750)

Record 2
An optimized crystal structure of CaLaCu2Si2. Source: the Alexandria database, functional GGA-PBE.

Output
Its density is 4.82 Mg/m³. As for the final energy: -29.1 eV per cell. The magnetic moment is 0.00 μB per formula unit. The value obtained for the calculated volume is 125 Å³ per cell. The calculation puts the formation energy without anion corrections at -0.520 eV/atom.

a = 4.160 Å, b = 4.160 Å, c = 8.323 Å
α = 90.00°, β = 90.00°, γ = 120.00°
Fractional positions:
Ca (0.000, 0.000, 0.000)
La (0.000, 0.000, 0.500)
Cu (0.333, 0.667, 0.240)
Cu (0.667, 0.333, 0.760)
Si (0.333, 0.667, 0.750)
Si (0.667, 0.333, 0.250)

Record 3
An optimized crystal structure of Rb2SnSb2. Source: the Alexandria database, functional GGA-PBE.

Output
Its density is 4.55 Mg/m³. As for the final energy: -31.1 eV per cell. The magnetic moment is 0.00 μB per formula unit. The value obtained for the calculated volume is 389 Å³ per cell. The calculation puts the formation energy without anion corrections at -0.269 eV/atom.

a = 8.120 Å, b = 8.120 Å, c = 5.899 Å
α = 90.00°, β = 90.00°, γ = 90.00°
Fractional positions:
Rb (0.177, 0.323, 0.000)
Rb (0.323, 0.823, 0.000)
Rb (0.677, 0.177, 0.000)
Rb (0.823, 0.677, 0.000)
Sn (0.000, 0.000, 0.500)
Sn (0.500, 0.500, 0.500)
Sb (0.125, 0.625, 0.500)
Sb (0.375, 0.125, 0.500)
Sb (0.625, 0.875, 0.500)
Sb (0.875, 0.375, 0.500)

> Look up the calculated volume of the third one.

389 Å³ per cell